K2SrZr | PBE | optimized geometry

Cell lengths 5.2490, 5.2490, 13.4872 Å; angles 90.00, 90.00, 90.00 degrees
Closest atoms and distances in Å follow each position.
Space group I4/mmm (No. 139)
Inequivalent atoms, fractional coordinates:
K  0.0000  0.5000  0.2500 x4  4 K 3.71
Sr  0.0000  0.0000  0.0000 x2  4 Zr 3.71
Zr  0.0000  0.0000  0.5000 x2  4 Sr 3.71



KSr2Zr | PBE | optimized geometry

Cell lengths 5.4692, 5.4692, 25.5622 Å; angles 90.00, 90.00, 90.00 degrees
Closest atoms and distances in Å follow each position.
Space group I-42d (No. 122)
Inequivalent atoms, fractional coordinates:
K  0.0000  0.0000  0.0000 x4  4 Sr 3.77, 4 Zr 3.87
Sr  0.2337  0.2500  0.6250 x8  2 Zr 3.70, 4 Sr 3.74-4.00, 2 K 3.77
Zr  0.0000  0.0000  0.5000 x4  4 Sr 3.70, 4 K 3.87



K2SrZr | PBE | optimized geometry

Cell lengths 3.9363, 6.2318, 14.3957 Å; angles 90.00, 90.00, 90.00 degrees
Closest atoms and distances in Å follow each position.
Space group Cmmm (No. 65)
Inequivalent atoms, fractional coordinates:
K  0.0000  0.0000  0.2254 x4  6 K 3.69-3.94, 2 Zr 3.80
Sr  0.0000  0.5000  0.5000 x2  6 Sr 3.69-3.94
Zr  0.0000  0.5000  0.0000 x2  6 Zr 3.69-3.94, 4 K 3.80



Polymorph energy (0 for the lowest one) values (in meV per atom) by entry order: 280 562 176.
ΔE_f values (in kJ/mol of formula units) by entry order: 325 378 285.